[1]
The following is a DFT calculation (PBE) of an optimized crystal structure of LaTi2P2.

a b c (Å): 4.7054 4.7054 5.5613
angles (deg): 64.97 64.97 90.00
Sites, in units of the cell vectors:
P1 0.7500 0.2500 0.5000
P2 0.2500 0.7500 0.5000
Ti1 0.3436 0.3436 0.3128
Ti2 0.6564 0.6564 0.6872
La1 0.0000 0.0000 0.0000

Electronic total energy ... -0.2624 Ha/atom
Calculated formation energy ... -0.83 eV/atom
Polymorph energy (0 for the lowest one) ... 0.000 eV/atom

---

[2]
The following is a DFT calculation (PBE) of an optimized crystal structure of LaTi2P.

a b c (Å): 4.4865 4.4865 9.7961
angles (deg): 76.76 76.76 90.00
Sites, in units of the cell vectors:
P1 0.5000 0.5000 0.0000
P2 0.2500 0.7500 0.5000
Ti1 0.3751 0.1250 0.2500
Ti2 0.3749 0.6250 0.2500
Ti3 0.3750 0.6249 0.7500
Ti4 0.8750 0.6251 0.7500
La1 0.0000 0.0000 0.0000
La2 0.7500 0.2500 0.5000

Electronic total energy ... -0.2482 Ha/atom
Calculated formation energy ... -0.22 eV/atom

---

[3]
The following is a DFT calculation (PBE) of an optimized crystal structure of LaTiP2.

a b c (Å): 3.8514 3.8514 6.7874
angles (deg): 73.52 73.52 60.00
Sites, in units of the cell vectors:
P1 0.2654 0.2654 0.2038
P2 0.7346 0.7346 0.7962
Ti1 0.0000 0.0000 0.0000
La1 0.5000 0.5000 0.5000

Electronic total energy ... -0.2632 Ha/atom
Calculated formation energy ... -1.25 eV/atom
Polymorph energy (0 for the lowest one) ... 0.000 eV/atom

---

Which of these has the highest electronic total energy?
LaTi2P

---

Please write out number 2 again, unchanged.
The following is a DFT calculation (PBE) of an optimized crystal structure of LaTi2P.

a b c (Å): 4.4865 4.4865 9.7961
angles (deg): 76.76 76.76 90.00
Sites, in units of the cell vectors:
P1 0.5000 0.5000 0.0000
P2 0.2500 0.7500 0.5000
Ti1 0.3751 0.1250 0.2500
Ti2 0.3749 0.6250 0.2500
Ti3 0.3750 0.6249 0.7500
Ti4 0.8750 0.6251 0.7500
La1 0.0000 0.0000 0.0000
La2 0.7500 0.2500 0.5000

Electronic total energy ... -0.2482 Ha/atom
Calculated formation energy ... -0.22 eV/atom

---

What is the electronic total energy in the first record?
-0.2624 Ha/atom